No. 1
A plane-wave DFT calculation with PBE was carried out for a geometry-optimized In4Hg15Bi structure.

abc: 5.3625 5.3625 18.7377
angles: 90.00 90.00 90.00
With the nearest neighbours (Å) after each atom.
Space group P4/mmm (No. 123)
One atom of each set of equivalent atoms:
In  0.0000  0.0000  0.1020  8 Hg 3.26-3.29
In  0.0000  0.0000  0.3052  8 Hg 3.21-3.32
Hg  0.0000  0.5000  0.0000  4 Hg 3.27, 4 In 3.29
Hg  0.0000  0.5000  0.2008  4 Hg 3.26-3.28, 4 In 3.26-3.32
Hg  0.0000  0.5000  0.3993  2 In 3.21, 4 Hg 3.27-3.28, 2 Bi 3.28
Hg  0.5000  0.5000  0.1003  8 Hg 3.27-3.28
Hg  0.5000  0.5000  0.2994  8 Hg 3.26-3.27
Hg  0.5000  0.5000  0.5000  8 Hg 3.28
Bi  0.0000  0.0000  0.5000  8 Hg 3.28, 2 In 3.65

Calculated values
The calculation puts the mass density at 11.33 g/cm³. As for the total energy: -0.95 eV per atom. The value obtained for the formation energy is 22 meV/atom.

No. 2
A plane-wave DFT calculation with PBE was carried out for a geometry-optimized In15Hg4Bi structure.

abc: 4.7744 4.7744 23.6897
angles: 90.00 90.00 90.00
With the nearest neighbours (Å) after each atom.
Space group P4/mmm (No. 123)
One atom of each set of equivalent atoms:
In  0.0000  0.0000  0.0000  4 Bi 3.38, 8 In 3.42
In  0.0000  0.0000  0.2025  8 In 3.35, 4 Hg 3.38
In  0.0000  0.0000  0.4000  8 In 3.34-3.36, 4 Hg 3.38
In  0.0000  0.5000  0.1034  8 In 3.35-3.42, 2 Hg 3.37, 2 Bi 3.42
In  0.0000  0.5000  0.3015  4 Hg 3.32-3.33, 8 In 3.34-3.38
In  0.0000  0.5000  0.5000  8 In 3.36-3.38, 4 Hg 3.38
Hg  0.5000  0.5000  0.2037  12 In 3.33-3.38
Hg  0.5000  0.5000  0.3990  12 In 3.32-3.38
Bi  0.5000  0.5000  0.0000  12 In 3.38-3.42

Calculated values
The calculation puts the mass density at 8.41 g/cm³. As for the total energy: -2.30 eV per atom. The value obtained for the formation energy is 13 meV/atom.

No. 3
A plane-wave DFT calculation with PBE was carried out for a geometry-optimized In8Hg2Bi structure.

abc: 8.9781 15.0115 5.8113
angles: 90.00 126.75 90.00
With the nearest neighbours (Å) after each atom.
Space group C2/m (No. 12)
One atom of each set of equivalent atoms:
In  0.0000  0.2215  0.0000  2 Hg 3.20, 4 In 3.24-3.26, 1 Bi 3.32
In  0.0922  0.5000  0.8241  6 In 3.08-3.37, 1 Bi 3.16, 2 Hg 3.24
In  0.2117  0.1190  0.6156  5 In 3.17-3.37, 2 Hg 3.22-3.28, 1 Bi 3.39
Hg  0.0000  0.3103  0.5000  8 In 3.20-3.28
Bi  0.0000  0.0000  0.0000  8 In 3.16-3.39

Calculated values
The calculation puts the mass density at 8.09 g/cm³. As for the total energy: -2.35 eV per atom. The calculation puts the energy relative to the lowest polymorph listed for this composition at 0.017 eV per atom. The value obtained for the formation energy is 49 meV/atom.

No. 4
A plane-wave DFT calculation with PBE was carried out for a geometry-optimized In3HgBi structure.

abc: 5.4944 12.4223 9.0347
angles: 90.00 90.00 90.00
With the nearest neighbours (Å) after each atom.
Space group Pnma (No. 62)
One atom of each set of equivalent atoms:
In  0.0017  0.1044  0.1482  6 In 3.31-3.62, 3 Bi 3.31-3.43, 1 Hg 3.34
In  0.0049  0.2500  0.4886  2 Bi 3.11, 3 Hg 3.15-3.17
Hg  0.0050  0.2500  0.8370  5 In 3.15-3.34, 2 Hg 3.16
Bi  0.0000  0.0000  0.5000  8 In 3.11-3.43

Calculated values
The calculation puts the mass density at 8.12 g/cm³. As for the total energy: -2.41 eV per atom. The calculation puts the energy relative to the lowest polymorph listed for this composition at 0.037 eV per atom. The value obtained for the formation energy is 65 meV/atom.

No. 5
A plane-wave DFT calculation with PBE was carried out for a geometry-optimized In2Hg2Bi structure.

abc: 3.5124 3.5124 23.0389
angles: 90.00 90.00 90.00
With the nearest neighbours (Å) after each atom.
Space group I4/mmm (No. 139)
One atom of each set of equivalent atoms:
In  0.0000  0.0000  0.1055  4 Hg 3.35, 4 Bi 3.48, 4 In 3.51
Hg  0.0000  0.0000  0.2969  8 Hg 3.29-3.51, 4 In 3.35
Bi  0.0000  0.0000  0.5000  8 In 3.48, 4 Bi 3.51

Calculated values
The calculation puts the mass density at 9.81 g/cm³. As for the total energy: -1.98 eV per atom. The calculation puts the energy relative to the lowest polymorph listed for this composition at 0.000 eV per atom. The value obtained for the formation energy is 15 meV/atom.

No. 6
A plane-wave DFT calculation with PBE was carried out for a geometry-optimized In12HgBi7 structure.

abc: 15.8759 15.8759 8.2723
angles: 90.00 90.00 120.00
With the nearest neighbours (Å) after each atom.
Space group R-3 (No. 148, hexagonal axes)
One atom of each set of equivalent atoms:
In  0.0250  0.7593  0.3088  4 In 3.23-3.58, 3 Bi 3.23-3.55
In  0.0838  0.5190  0.6687  4 Bi 3.21-3.45, 4 In 3.23-3.45
Hg  0.0000  0.0000  0.5000  6 Bi 3.14
Bi  0.0000  0.0000  0.0000  6 In 3.45
Bi  0.0203  0.8342  0.6704  1 Hg 3.14, 5 In 3.21-3.27

Calculated values
The calculation puts the mass density at 8.39 g/cm³. As for the total energy: -2.95 eV per atom. The value obtained for the formation energy is 66 meV/atom.